NpMn2Os | PBE | relaxed

a b c (Å): 3.9364 3.9065 3.9065
angles (deg): 90.00 90.00 90.00
Positions (direct):
Np1 0.5000 0.5000 0.5000
Mn1 0.0000 0.0000 0.5000
Mn2 0.0000 0.5000 0.0000
Os1 0.5000 0.0000 0.0000

Summary:
**ΔH_f (0 K)**: 121.4 meV/atom
**Total moment**: 0.562 μB per atom
**Energy above the lowest structure with this stoichiometry**: 0 meV/atom

NpMn2Os | PBE | relaxed

a b c (Å): 2.6963 2.6963 9.1094
angles (deg): 81.49 81.49 60.00
Positions (direct):
Np1 0.0000 0.0000 0.0000
Mn1 0.0890 0.0890 0.7329
Mn2 0.9110 0.9110 0.2671
Os1 0.5000 0.5000 0.5000

Summary:
**ΔH_f (0 K)**: 519.0 meV/atom
**Total moment**: 0.407 μB per atom
**Energy above the lowest structure with this stoichiometry**: 398 meV/atom